# Li2Pm2I7

A relaxed structure of Li2Pm2I7 (PBE-GGA, Alexandria).

Structure (CIF):
```
data_Li2Pm2I7
_chemical_formula_sum 'Li4 Pm4 I14'
_space_group_name_H-M_alt 'C 1 2/m 1'
_space_group_IT_number 12
_space_group_name_Hall '-C 2y'
_cell_length_a 7.959
_cell_length_b 12.978
_cell_length_c 12.011
_cell_angle_alpha 90.00
_cell_angle_beta 105.84
_cell_angle_gamma 90.00
loop_
_atom_site_label
_atom_site_type_symbol
_atom_site_fract_x
_atom_site_fract_y
_atom_site_fract_z
Li1 Li 0.182 0.000 0.214
Pm1 Pm 0.000 0.351 0.500
I1 I 0.000 0.000 0.000
I2 I 0.054 0.500 0.308
I3 I 0.113 0.171 0.350
```

Values from the calculation:
**Total magnetization**: 2.02 μB/cell
**Theoretical density**: 3.317 g/cm3
**E_tot**: -75.39 eV per cell
**E_form (uncorrected)**: -1.23 eV/atom

***

# BaCa5Mg4

A relaxed structure of BaCa5Mg4 (PBE-GGA, Alexandria).

Structure (CIF):
```
data_BaCa5Mg4
_chemical_formula_sum 'Ba1 Ca5 Mg4'
_space_group_name_H-M_alt 'P 4/m m m'
_space_group_IT_number 123
_space_group_name_Hall '-P 4 2'
_cell_length_a 3.994
_cell_length_b 3.994
_cell_length_c 22.091
_cell_angle_alpha 90.00
_cell_angle_beta 90.00
_cell_angle_gamma 90.00
loop_
_atom_site_label
_atom_site_type_symbol
_atom_site_fract_x
_atom_site_fract_y
_atom_site_fract_z
Ba1 Ba 0.000 0.000 0.000
Ca1 Ca 0.500 0.500 0.144
Ca2 Ca 0.500 0.500 0.323
Ca3 Ca 0.500 0.500 0.500
Mg1 Mg 0.000 0.000 0.234
Mg2 Mg 0.000 0.000 0.412
```

Values from the calculation:
**Total magnetization**: 0.00 μB/cell
**Theoretical density**: 2.050 g/cm3
**Formation energy**: -0.05 eV per atom
**E_tot**: -18.79 eV per cell

***

# ThPaAgO6

A relaxed structure of ThPaAgO6 (PBE-GGA, Alexandria).

Structure (CIF):
```
data_ThPaAgO6
_chemical_formula_sum 'Th1 Pa1 Ag1 O6'
_space_group_name_H-M_alt 'P 3 1 2'
_space_group_IT_number 149
_space_group_name_Hall 'P 3 2'
_cell_length_a 5.6489
_cell_length_b 5.6489
_cell_length_c 5.0068
_cell_angle_alpha 90.00
_cell_angle_beta 90.00
_cell_angle_gamma 120.00
loop_
_atom_site_label
_atom_site_type_symbol
_atom_site_fract_x
_atom_site_fract_y
_atom_site_fract_z
Th1 Th 0.0000 0.0000 0.0000
Pa1 Pa 0.6667 0.3333 0.5000
Ag1 Ag 0.3333 0.6667 0.0000
O1 O 0.3527 0.0129 0.2489
```

Values from the calculation:
**Total magnetization**: 1.78 μB/cell
**Theoretical density**: 8.004 g/cm3
**E_tot**: -71.74 eV per cell
**E_form (uncorrected)**: -2.47 eV/atom

***

# Rb2HoScO4

A relaxed structure of Rb2HoScO4 (PBE-GGA, Alexandria).

Structure (CIF):
```
data_Rb2HoScO4
_chemical_formula_sum 'Rb8 Ho4 Sc4 O16'
_space_group_name_H-M_alt 'I m m a'
_space_group_IT_number 74
_space_group_name_Hall '-I 2b 2'
_cell_length_a 7.022
_cell_length_b 7.211
_cell_length_c 10.044
_cell_angle_alpha 90.00
_cell_angle_beta 90.00
_cell_angle_gamma 90.00
loop_
_atom_site_label
_atom_site_type_symbol
_atom_site_fract_x
_atom_site_fract_y
_atom_site_fract_z
Rb1 Rb 0.000 0.000 0.000
Rb2 Rb 0.250 0.250 0.250
Ho1 Ho 0.000 0.000 0.500
Sc1 Sc 0.250 0.250 0.750
O1 O 0.000 0.054 0.730
O2 O 0.207 0.250 0.529
```

Values from the calculation:
**Total magnetization**: 0.00 μB/cell
**Theoretical density**: 5.810 g/cm3
**E_tot**: -211.64 eV per cell
**E_form (uncorrected)**: -2.53 eV/atom

***

# Pm3Ni2P4

A relaxed structure of Pm3Ni2P4 (PBE-GGA, Alexandria).

Structure (CIF):
```
data_Pm3Ni2P4
_chemical_formula_sum 'Pm6 Ni4 P8'
_space_group_name_H-M_alt 'C 1 2/m 1'
_space_group_IT_number 12
_space_group_name_Hall '-C 2y'
_cell_length_a 11.609
_cell_length_b 3.996
_cell_length_c 8.333
_cell_angle_alpha 90.00
_cell_angle_beta 116.76
_cell_angle_gamma 90.00
loop_
_atom_site_label
_atom_site_type_symbol
_atom_site_fract_x
_atom_site_fract_y
_atom_site_fract_z
Pm1 Pm 0.000 0.000 0.000
Pm2 Pm 0.131 0.500 0.717
Ni1 Ni 0.187 0.500 0.382
P1 P 0.098 0.000 0.403
P2 P 0.190 0.500 0.109
```

Values from the calculation:
**Total magnetization**: 0.00 μB/cell
**Theoretical density**: 6.507 g/cm3
**Formation energy**: -1.08 eV per atom
**E_tot**: -114.40 eV per cell

***

# HgW

A relaxed structure of HgW (PBE-GGA, Alexandria).

Structure (CIF):
```
data_HgW
_chemical_formula_sum 'Hg4 W4'
_space_group_name_H-M_alt 'P 21 3'
_space_group_IT_number 198
_space_group_name_Hall 'P 2ac 2ab 3'
_cell_length_a 5.287
_cell_length_b 5.287
_cell_length_c 5.287
_cell_angle_alpha 90.00
_cell_angle_beta 90.00
_cell_angle_gamma 90.00
loop_
_atom_site_label
_atom_site_type_symbol
_atom_site_fract_x
_atom_site_fract_y
_atom_site_fract_z
Hg1 Hg 0.097 0.403 0.597
W1 W 0.103 0.897 0.397
```

Values from the calculation:
**Total magnetization**: 0.00 μB/cell
**Theoretical density**: 17.274 g/cm3
**Formation energy**: 1.22 eV per atom
**E_tot**: -43.28 eV per cell

***

# DyY7Tm12

A relaxed structure of DyY7Tm12 (PBE-GGA, Alexandria).

Structure (CIF):
```
data_DyY7Tm12
_chemical_formula_sum 'Dy3 Y21 Tm36'
_space_group_name_H-M_alt 'R -3'
_space_group_IT_number 148
_space_group_name_Hall '-R 3'
_cell_length_a 11.9095
_cell_length_b 11.9095
_cell_length_c 15.7205
_cell_angle_alpha 90.00
_cell_angle_beta 90.00
_cell_angle_gamma 120.00
loop_
_atom_site_label
_atom_site_type_symbol
_atom_site_fract_x
_atom_site_fract_y
_atom_site_fract_z
Dy1 Dy 0.0000 0.0000 0.0000
Y1 Y 0.0000 0.0000 0.5000
Y2 Y 0.0524 0.8628 0.7934
Tm1 Tm 0.0206 0.5715 0.7183
Tm2 Tm 0.0521 0.4657 0.0833
```

Values from the calculation:
**Total magnetization**: 0.00 μB/cell
**Theoretical density**: 7.255 g/cm3
**Formation energy**: 0.23 eV per atom
**E_tot**: -296.57 eV per cell

***

# AsWSe2

A relaxed structure of AsWSe2 (PBE-GGA, Alexandria).

Structure (CIF):
```
data_AsWSe2
_chemical_formula_sum 'As3 W3 Se6'
_space_group_name_H-M_alt 'R -3 m'
_space_group_IT_number 166
_space_group_name_Hall '-R 3 2"'
_cell_length_a 2.8542
_cell_length_b 2.8542
_cell_length_c 37.1490
_cell_angle_alpha 90.00
_cell_angle_beta 90.00
_cell_angle_gamma 120.00
loop_
_atom_site_label
_atom_site_type_symbol
_atom_site_fract_x
_atom_site_fract_y
_atom_site_fract_z
As1 As 0.0000 0.0000 0.0000
W1 W 0.0000 0.0000 0.5000
Se1 Se 0.0000 0.0000 0.4310
```

Values from the calculation:
**Total magnetization**: 1.69 μB/cell
**Theoretical density**: 7.920 g/cm3
**E_tot**: -65.53 eV per cell
**E_form (uncorrected)**: 0.68 eV/atom

***

# Rb2TaPbO4

A relaxed structure of Rb2TaPbO4 (PBE-GGA, Alexandria).

Structure (CIF):
```
data_Rb2TaPbO4
_chemical_formula_sum 'Rb4 Ta2 Pb2 O8'
_space_group_name_H-M_alt 'I -4'
_space_group_IT_number 82
_space_group_name_Hall 'I -4'
_cell_length_a 6.941
_cell_length_b 6.941
_cell_length_c 7.602
_cell_angle_alpha 90.00
_cell_angle_beta 90.00
_cell_angle_gamma 90.00
loop_
_atom_site_label
_atom_site_type_symbol
_atom_site_fract_x
_atom_site_fract_y
_atom_site_fract_z
Rb1 Rb 0.000 0.000 0.000
Rb2 Rb 0.000 0.500 0.250
Ta1 Ta 0.000 0.000 0.500
Pb1 Pb 0.000 0.500 0.750
O1 O 0.136 0.831 0.648
```

Values from the calculation:
**Total magnetization**: 1.95 μB/cell
**Theoretical density**: 5.651 g/cm3
**E_tot**: -105.07 eV per cell
**E_form (uncorrected)**: -1.90 eV/atom

***

# Sc2TiZnN

A relaxed structure of Sc2TiZnN (PBE-GGA, Alexandria).

Structure (CIF):
```
data_Sc2TiZnN
_chemical_formula_sum 'Sc2 Ti1 Zn1 N1'
_space_group_name_H-M_alt 'P 4/m m m'
_space_group_IT_number 123
_space_group_name_Hall '-P 4 2'
_cell_length_a 4.379
_cell_length_b 4.379
_cell_length_c 4.162
_cell_angle_alpha 90.00
_cell_angle_beta 90.00
_cell_angle_gamma 90.00
loop_
_atom_site_label
_atom_site_type_symbol
_atom_site_fract_x
_atom_site_fract_y
_atom_site_fract_z
Sc1 Sc 0.000 0.500 0.000
Ti1 Ti 0.000 0.000 0.500
Zn1 Zn 0.500 0.500 0.500
N1 N 0.000 0.000 0.000
```

Values from the calculation:
**Total magnetization**: 0.00 μB/cell
**Theoretical density**: 4.519 g/cm3
**E_tot**: -34.80 eV per cell
**E_form (uncorrected)**: -0.93 eV/atom

***

# CsLi2SeBr

A relaxed structure of CsLi2SeBr (PBE-GGA, Alexandria).

Structure (CIF):
```
data_CsLi2SeBr
_chemical_formula_sum 'Cs2 Li4 Se2 Br2'
_space_group_name_H-M_alt 'I 4 m m'
_space_group_IT_number 107
_space_group_name_Hall 'I 4 -2'
_cell_length_a 4.398
_cell_length_b 4.398
_cell_length_c 14.687
_cell_angle_alpha 90.00
_cell_angle_beta 90.00
_cell_angle_gamma 90.00
loop_
_atom_site_label
_atom_site_type_symbol
_atom_site_fract_x
_atom_site_fract_y
_atom_site_fract_z
Cs1 Cs 0.000 0.000 0.000
Li1 Li 0.000 0.500 0.226
Se1 Se 0.000 0.000 0.642
Br1 Br 0.000 0.000 0.332
```

Values from the calculation:
**Total magnetization**: 0.00 μB/cell
**Theoretical density**: 3.574 g/cm3
**E_tot**: -33.68 eV per cell
**E_form (uncorrected)**: -1.40 eV/atom

***

# SiNi2WC

A relaxed structure of SiNi2WC (PBE-GGA, Alexandria).

Structure (CIF):
```
data_SiNi2WC
_chemical_formula_sum 'Si1 Ni2 W1 C1'
_space_group_name_H-M_alt 'P 4/m m m'
_space_group_IT_number 123
_space_group_name_Hall '-P 4 2'
_cell_length_a 4.591
_cell_length_b 4.591
_cell_length_c 3.966
_cell_angle_alpha 90.00
_cell_angle_beta 90.00
_cell_angle_gamma 90.00
loop_
_atom_site_label
_atom_site_type_symbol
_atom_site_fract_x
_atom_site_fract_y
_atom_site_fract_z
Si1 Si 0.000 0.000 0.000
Ni1 Ni 0.000 0.500 0.500
W1 W 0.500 0.500 0.500
C1 C 0.500 0.500 0.000
```

Values from the calculation:
**Total magnetization**: 0.00 μB/cell
**Theoretical density**: 6.781 g/cm3
**E_tot**: -31.12 eV per cell
**E_form (uncorrected)**: 1.61 eV/atom